## K2BaFeO4 (PBE+U)

Data for an optimized crystal structure of K2BaFeO4.

Cell lengths 6.251, 6.251, 7.976 Å; angles 90.00, 90.00, 90.00 degrees
Element x y z (fractional)
K1 0.000 0.000 0.000
K2 0.000 0.500 0.250
K3 0.500 0.000 0.750
K4 0.500 0.500 0.500
Ba1 0.000 0.000 0.500
Ba2 0.500 0.500 0.000
Fe1 0.000 0.500 0.750
Fe2 0.500 0.000 0.250
O1 0.187 0.697 0.662
O2 0.197 0.313 0.838
O3 0.303 0.187 0.338
O4 0.313 0.803 0.162
O5 0.687 0.197 0.162
O6 0.697 0.813 0.338
O7 0.803 0.687 0.838
O8 0.813 0.303 0.662

Properties
Symmetry: No. 82
E_tot in eV/atom: -5.331
Total magnetization in μB/atom: 0.51